A plane-wave DFT calculation with PBE-GGA was carried out for a geometry-optimized La9HgPb2 structure.

```
data_La9HgPb2
_chemical_formula_sum 'La9 Hg1 Pb2'
_symmetry_space_group_name_H-M 'P 1'
_symmetry_Int_Tables_number 1
_symmetry_space_group_name_Hall 'P 1'
_cell_length_a 5.0709
_cell_length_b 5.0709
_cell_length_c 15.0868
_cell_angle_alpha 90.00
_cell_angle_beta 90.00
_cell_angle_gamma 90.00
loop_
_atom_site_label
_atom_site_type_symbol
_atom_site_fract_x
_atom_site_fract_y
_atom_site_fract_z
La1 La 0.0000 0.0000 0.0000
La2 La 0.0000 0.0000 0.3299
La3 La 0.0000 0.0000 0.6701
La4 La 0.0000 0.5000 0.1651
La5 La 0.0000 0.5000 0.5000
La6 La 0.0000 0.5000 0.8349
La7 La 0.5000 0.0000 0.1651
La8 La 0.5000 0.0000 0.5000
La9 La 0.5000 0.0000 0.8349
Hg1 Hg 0.5000 0.5000 0.0000
Pb1 Pb 0.5000 0.5000 0.3317
Pb2 Pb 0.5000 0.5000 0.6683
```

Values from the calculation:
- V: 32.3 Å³/atom
- Mass density: 8.0 Mg/m³
- Energy of formation: -0.327 eV per atom
- Total magnetization: 0.00 μB per atom

***

A plane-wave DFT calculation with PBE-GGA was carried out for a geometry-optimized Li2NbAg3S6 structure.

```
data_Li2NbAg3S6
_chemical_formula_sum 'Li2 Nb1 Ag3 S6'
_symmetry_space_group_name_H-M 'P 1'
_symmetry_Int_Tables_number 1
_symmetry_space_group_name_Hall 'P 1'
_cell_length_a 6.5926
_cell_length_b 6.5926
_cell_length_c 6.3829
_cell_angle_alpha 99.99
_cell_angle_beta 99.99
_cell_angle_gamma 120.44
loop_
_atom_site_label
_atom_site_type_symbol
_atom_site_fract_x
_atom_site_fract_y
_atom_site_fract_z
Li1 Li 0.1755 0.8245 0.0000
Li2 Li 0.8245 0.1755 0.0000
Nb1 Nb 0.5000 0.5000 0.0000
Ag1 Ag 0.0000 0.0000 0.5000
Ag2 Ag 0.3462 0.6538 0.5000
Ag3 Ag 0.6538 0.3462 0.5000
S1 S 0.1171 0.4304 0.7504
S2 S 0.2364 0.2364 0.1932
S3 S 0.4304 0.1171 0.7504
S4 S 0.5696 0.8829 0.2496
S5 S 0.7636 0.7636 0.8068
S6 S 0.8829 0.5696 0.2496
```

Values from the calculation:
- V: 18.7 Å³/atom
- Raw total energy: -4.3897 eV/atom
- Mass density: 4.6 Mg/m³
- Total magnetization: 0.00 μB per atom

***

A plane-wave DFT calculation with PBE-GGA was carried out for a geometry-optimized Ho2MgTl2Pb5 structure.

```
data_Ho2MgTl2Pb5
_chemical_formula_sum 'Ho4 Mg2 Tl4 Pb10'
_symmetry_space_group_name_H-M 'P 1'
_symmetry_Int_Tables_number 1
_symmetry_space_group_name_Hall 'P 1'
_cell_length_a 11.1840
_cell_length_b 11.1840
_cell_length_c 4.8141
_cell_angle_alpha 90.00
_cell_angle_beta 90.00
_cell_angle_gamma 90.00
loop_
_atom_site_label
_atom_site_type_symbol
_atom_site_fract_x
_atom_site_fract_y
_atom_site_fract_z
Ho1 Ho 0.1241 0.3759 0.0000
Ho2 Ho 0.3759 0.8759 0.0000
Ho3 Ho 0.6241 0.1241 0.0000
Ho4 Ho 0.8759 0.6241 0.0000
Mg1 Mg 0.0000 0.0000 0.0000
Mg2 Mg 0.5000 0.5000 0.0000
Tl1 Tl 0.1763 0.6763 0.0000
Tl2 Tl 0.3237 0.1763 0.0000
Tl3 Tl 0.6763 0.8237 0.0000
Tl4 Tl 0.8237 0.3237 0.0000
Pb1 Pb 0.0000 0.5000 0.5000
Pb2 Pb 0.0760 0.1903 0.5000
Pb3 Pb 0.1903 0.9240 0.5000
Pb4 Pb 0.3097 0.4240 0.5000
Pb5 Pb 0.4240 0.6903 0.5000
Pb6 Pb 0.5000 0.0000 0.5000
Pb7 Pb 0.5760 0.3097 0.5000
Pb8 Pb 0.6903 0.5760 0.5000
Pb9 Pb 0.8097 0.0760 0.5000
Pb10 Pb 0.9240 0.8097 0.5000
```

Values from the calculation:
- V: 30.1 Å³/atom
- Mass density: 9.9 Mg/m³
- Energy of formation: -0.093 eV per atom
- Total magnetization: 0.00 μB per atom

***

A plane-wave DFT calculation with PBE-GGA was carried out for a geometry-optimized PmPu4S6 structure.

```
data_PmPu4S6
_chemical_formula_sum 'Pm2 Pu8 S12'
_symmetry_space_group_name_H-M 'P 1'
_symmetry_Int_Tables_number 1
_symmetry_space_group_name_Hall 'P 1'
_cell_length_a 6.8299
_cell_length_b 6.8299
_cell_length_c 20.0147
_cell_angle_alpha 90.00
_cell_angle_beta 90.00
_cell_angle_gamma 146.66
loop_
_atom_site_label
_atom_site_type_symbol
_atom_site_fract_x
_atom_site_fract_y
_atom_site_fract_z
Pm1 Pm 0.1528 0.8472 0.7500
Pm2 Pm 0.8472 0.1528 0.2500
Pu1 Pu 0.0934 0.9066 0.1298
Pu2 Pu 0.0934 0.9066 0.3702
Pu3 Pu 0.3629 0.6371 0.0405
Pu4 Pu 0.3629 0.6371 0.4595
Pu5 Pu 0.6371 0.3629 0.5405
Pu6 Pu 0.6371 0.3629 0.9595
Pu7 Pu 0.9066 0.0934 0.6298
Pu8 Pu 0.9066 0.0934 0.8702
S1 S 0.0000 0.0000 0.0000
S2 S 0.0000 0.0000 0.5000
S3 S 0.1924 0.8076 0.2500
S4 S 0.2703 0.7297 0.5866
S5 S 0.2703 0.7297 0.9134
S6 S 0.4534 0.5466 0.1673
S7 S 0.4534 0.5466 0.3327
S8 S 0.5466 0.4534 0.6673
S9 S 0.5466 0.4534 0.8327
S10 S 0.7297 0.2703 0.0866
S11 S 0.7297 0.2703 0.4134
S12 S 0.8076 0.1924 0.7500
```

Values from the calculation:
- V: 23.3 Å³/atom
- Raw total energy: -9.6426 eV/atom
- Mass density: 8.5 Mg/m³
- Total magnetization: 0.01 μB per atom

***

What is the total magnetization in the fourth record?
0.01 μB per atom

***

Among the records above, which one has the highest total magnetization?
PmPu4S6

***

Among the records above, which one has the highest mass density?
Ho2MgTl2Pb5